No. 1
The following is a DFT calculation (GGA-PBE) of crystalline TbDy3In2 at its relaxed geometry.

DFT formation energy, meV/atom: -358
Final energy, eV per cell: -52.1
Magnetization, Bohr magnetons per cell: 0.0
N(E_F), states/eV/atom: 0.9418
Energy relative to the lowest polymorph listed for this composition, meV/atom: 0

Geometry as CIF:
```
data_TbDy3In2
_chemical_formula_sum 'Tb2 Dy6 In4'
_space_group_name_H-M_alt 'P m c 21'
_space_group_IT_number 26
_space_group_name_Hall 'P 2c -2'
_cell_length_a 5.198
_cell_length_b 9.808
_cell_length_c 6.723
_cell_angle_alpha 90.00
_cell_angle_beta 90.00
_cell_angle_gamma 90.00
loop_
_atom_site_label
_atom_site_fract_x
_atom_site_fract_y
_atom_site_fract_z
Tb1 0.000 0.037 0.000
Dy1 0.000 0.320 0.653
Dy2 0.500 0.181 0.279
Dy3 0.500 0.463 0.932
In1 0.000 0.357 0.178
In2 0.500 0.143 0.754
```

No. 2
The following is a DFT calculation (GGA-PBE) of crystalline RbIrNO2 at its relaxed geometry.

Final energy, eV per cell: -14.7
Magnetization, Bohr magnetons per cell: 3.6
N(E_F), states/eV/atom: 1.0107
Formation energy (no corrections), eV/atom: 2.67

Geometry as CIF:
```
data_RbIrNO2
_chemical_formula_sum 'Rb1 Ir1 N1 O2'
_space_group_name_H-M_alt 'P 4/m m m'
_space_group_IT_number 123
_space_group_name_Hall '-P 4 2'
_cell_length_a 4.220
_cell_length_b 4.220
_cell_length_c 4.506
_cell_angle_alpha 90.00
_cell_angle_beta 90.00
_cell_angle_gamma 90.00
loop_
_atom_site_label
_atom_site_fract_x
_atom_site_fract_y
_atom_site_fract_z
Rb1 0.000 0.000 0.000
Ir1 0.500 0.500 0.500
N1 0.000 0.000 0.500
O1 0.000 0.500 0.000
```

No. 3
The following is a DFT calculation (GGA-PBE) of crystalline PPtF2 at its relaxed geometry.

Final energy, eV per cell: -51.7
Magnetization, Bohr magnetons per cell: 0.0
N(E_F), states/eV/atom: 0.4391
Energy relative to the lowest polymorph listed for this composition, meV/atom: 387
Formation energy (no corrections), eV/atom: -0.51

Geometry as CIF:
```
data_PPtF2
_chemical_formula_sum 'P3 Pt3 F6'
_space_group_name_H-M_alt 'R -3 m'
_space_group_IT_number 166
_space_group_name_Hall '-R 3 2"'
_cell_length_a 2.7451
_cell_length_b 2.7451
_cell_length_c 23.9252
_cell_angle_alpha 90.00
_cell_angle_beta 90.00
_cell_angle_gamma 120.00
loop_
_atom_site_label
_atom_site_fract_x
_atom_site_fract_y
_atom_site_fract_z
P1 0.0000 0.0000 0.0000
Pt1 0.0000 0.0000 0.5000
F1 0.0000 0.0000 0.4157
```

No. 4
The following is a DFT calculation (GGA-PBE) of crystalline Tb4Nd9Mg11 at its relaxed geometry.

DFT formation energy, meV/atom: -47
Final energy, eV per cell: -160.2
Magnetization, Bohr magnetons per cell: 0.0
N(E_F), states/eV/atom: 1.0381

Geometry as CIF:
```
data_Tb4Nd9Mg11
_chemical_formula_sum 'Tb8 Nd18 Mg22'
_space_group_name_H-M_alt 'C m m m'
_space_group_IT_number 65
_space_group_name_Hall '-C 2 2'
_cell_length_a 16.256
_cell_length_b 23.331
_cell_length_c 3.720
_cell_angle_alpha 90.00
_cell_angle_beta 90.00
_cell_angle_gamma 90.00
loop_
_atom_site_label
_atom_site_fract_x
_atom_site_fract_y
_atom_site_fract_z
Tb1 0.156 0.089 0.000
Nd1 0.000 0.000 0.000
Nd2 0.115 0.239 0.000
Nd3 0.121 0.413 0.000
Mg1 0.000 0.138 0.500
Mg2 0.000 0.329 0.500
Mg3 0.000 0.500 0.500
Mg4 0.236 0.323 0.500
Mg5 0.240 0.500 0.500
```

No. 5
The following is a DFT calculation (GGA-PBE) of crystalline NaLa2Br4 at its relaxed geometry.

Final energy, eV per cell: -113.6
Magnetization, Bohr magnetons per cell: 8.0
N(E_F), states/eV/atom: 0.1925
Formation energy (no corrections), eV/atom: -1.50

Geometry as CIF:
```
data_NaLa2Br4
_chemical_formula_sum 'Na4 La8 Br16'
_space_group_name_H-M_alt 'I m m 2'
_space_group_IT_number 44
_space_group_name_Hall 'I 2 -2'
_cell_length_a 9.226
_cell_length_b 9.622
_cell_length_c 10.181
_cell_angle_alpha 90.00
_cell_angle_beta 90.00
_cell_angle_gamma 90.00
loop_
_atom_site_label
_atom_site_fract_x
_atom_site_fract_y
_atom_site_fract_z
Na1 0.000 0.000 0.000
Na2 0.000 0.500 0.340
La1 0.000 0.280 0.720
La2 0.226 0.500 0.924
Br1 0.000 0.203 0.414
Br2 0.000 0.294 0.025
Br3 0.199 0.000 0.740
Br4 0.214 0.500 0.622
```

No. 6
The following is a DFT calculation (GGA-PBE) of crystalline CuNi2Mo at its relaxed geometry.

DFT formation energy, meV/atom: 95
Final energy, eV per cell: -78.3
Magnetization, Bohr magnetons per cell: 0.0
N(E_F), states/eV/atom: 0.8699
Energy relative to the lowest polymorph listed for this composition, meV/atom: 102

Geometry as CIF:
```
data_CuNi2Mo
_chemical_formula_sum 'Cu3 Ni6 Mo3'
_space_group_name_H-M_alt 'R -3 m'
_space_group_IT_number 166
_space_group_name_Hall '-R 3 2"'
_cell_length_a 2.6254
_cell_length_b 2.6254
_cell_length_c 25.2415
_cell_angle_alpha 90.00
_cell_angle_beta 90.00
_cell_angle_gamma 120.00
loop_
_atom_site_label
_atom_site_fract_x
_atom_site_fract_y
_atom_site_fract_z
Cu1 0.0000 0.0000 0.0000
Ni1 0.0000 0.0000 0.2526
Mo1 0.0000 0.0000 0.5000
```

No. 7
The following is a DFT calculation (GGA-PBE) of crystalline ZrInW2 at its relaxed geometry.

DFT formation energy, meV/atom: 232
Final energy, eV per cell: -36.3
Magnetization, Bohr magnetons per cell: 0.0
N(E_F), states/eV/atom: 0.7938

Geometry as CIF:
```
data_ZrInW2
_chemical_formula_sum 'Zr1 In1 W2'
_space_group_name_H-M_alt 'P 1 m 1'
_space_group_IT_number 6
_space_group_name_Hall 'P -2y'
_cell_length_a 2.911
_cell_length_b 4.535
_cell_length_c 5.890
_cell_angle_alpha 90.00
_cell_angle_beta 104.16
_cell_angle_gamma 90.00
loop_
_atom_site_label
_atom_site_fract_x
_atom_site_fract_y
_atom_site_fract_z
Zr1 0.000 0.000 0.000
In1 0.680 0.500 0.266
W1 0.285 0.500 0.739
W2 0.472 0.000 0.537
```